# ZrZnCd2 (PBE-GGA, optimized geometry)
data_ZrZnCd2
_chemical_formula_sum 'Zr2 Zn2 Cd4'
_cell_length_a 4.309
_cell_length_b 4.309
_cell_length_c 8.752
_cell_angle_alpha 90.00
_cell_angle_beta 90.00
_cell_angle_gamma 90.00
_space_group_name_H-M_alt 'P 1'
_space_group_IT_number 1
loop_
_space_group_symop_operation_xyz
'x,y,z'
loop_
_atom_site_label
_atom_site_fract_x
_atom_site_fract_y
_atom_site_fract_z
_atom_site_occupancy
Zr1 0.000 0.000 0.000 1
Zr2 0.500 0.500 0.500 1
Zn1 0.000 0.000 0.500 1
Zn2 0.500 0.500 0.000 1
Cd1 0.000 0.500 0.250 1
Cd2 0.000 0.500 0.750 1
Cd3 0.500 0.000 0.250 1
Cd4 0.500 0.000 0.750 1
# Total energy   -2.887 eV per atom
# Total moment   0.0 μB/f.u.
# Formation energy   2.54 kJ/mol of atoms
# SG   No. 139